Compound: Er6TlIn
Source: the Alexandria database
Functional: PBE
Structure: optimized geometry

```
Er6TlIn
1.0
4.805 0.000 0.000
0.000 4.805 0.000
0.000 0.000 9.615
Er Tl In
6 1 1
direct
0.000 0.500 0.252
0.500 0.500 0.500
0.500 0.000 0.748
0.500 0.000 0.252
0.000 0.500 0.748
0.500 0.500 0.000
0.000 0.000 0.000
0.000 0.000 0.500
```

* space group: P4/mmm, No. 123
* total magnetization: 0.000 μB per atom
* ΔH_f (0 K): -215 meV/atom